Arrangement A

The following is a PBE calculation of crystalline Ba2SrZr at its relaxed geometry, from Alexandria.

Crystal system   orthorhombic
Magnetic moment   1.29 μB/f.u.

Cell: 7.7999 7.7999 7.7999 Å, 150.14 129.91 59.41°
Closest atoms and distances in Å follow each position.
Element x y z (fractional)
Ba1 0.4644 0.4644 0.0000  2 Zr 3.53
Ba2 0.0356 0.0356 0.0000  2 Zr 3.53
Sr1 0.7500 0.2500 0.5000  4 Zr 3.87, 2 Sr 4.02
Zr1 0.2500 0.7500 0.5000  4 Ba 3.53, 4 Sr 3.87

Arrangement B

The following is a PBE calculation of crystalline Ba2SrZr at its relaxed geometry, from Alexandria.

Crystal system   monoclinic
Magnetic moment   1.11 μB/f.u.

Cell: 7.7754 7.7754 6.6648 Å, 65.48 65.48 30.03°
Closest atoms and distances in Å follow each position.
Element x y z (fractional)
Ba1 0.7513 0.7513 0.7445  4 Zr 3.89-3.90, 2 Ba 4.03, 2 Sr 4.35
Ba2 0.9650 0.9650 0.0395  2 Zr 3.56
Sr1 0.5355 0.5355 0.4693  2 Zr 3.52
Zr1 0.2482 0.2482 0.2467  2 Sr 3.52, 6 Ba 3.56-3.90

The data favor arrangement B; the next most stable structure lies 0.009 eV/atom above it.